No. 1
Dy2BiAu: relaxed, GGA-PBE.

## Properties
- space-group type = Cmcm (63)
- calculated volume (A^3/atom) = 27.9
- electronic total energy (eV per atom) = -4.854

Cell: 4.634 4.108 11.910 Å, 99.93 90.00 90.00°
Element x y z (fractional)
1 Bi 0.250 0.193 0.385
2 Au 0.750 0.541 0.082
3 Dy 0.250 0.059 0.118
4 Au 0.250 0.459 0.918
5 Dy 0.750 0.941 0.882
6 Dy 0.750 0.671 0.342
7 Dy 0.250 0.329 0.658
8 Bi 0.750 0.807 0.615


No. 2
CaP3Ru4: relaxed, GGA-PBE.

## Properties
- space-group type = P4/mmm (123)
- calculated volume (A^3/atom) = 15.5
- electronic total energy (eV per atom) = -7.595

Cell: 4.007 4.007 7.740 Å, 90.00 90.00 90.00°
Element x y z (fractional)
1 Ru 0.000 0.500 0.181
2 Ca 0.000 0.000 0.500
3 Ru 0.000 0.500 0.819
4 Ru 0.500 0.000 0.819
5 P 0.000 0.000 0.000
6 Ru 0.500 0.000 0.181
7 P 0.500 0.500 0.330
8 P 0.500 0.500 0.670


No. 3
Li2Er5Pb5: relaxed, GGA-PBE.

## Properties
- space-group type = C2/m (12)
- calculated volume (A^3/atom) = 26.9
- electronic total energy (eV per atom) = -4.074

Cell: 4.813 6.327 13.210 Å, 117.36 90.00 112.36°
Element x y z (fractional)
1 Er 0.344 0.689 0.992
2 Pb 0.667 0.334 0.778
3 Pb 0.139 0.278 0.433
4 Er 0.685 0.369 0.286
5 Er 0.315 0.631 0.714
6 Li 0.050 0.100 0.799
7 Pb 0.000 0.000 0.000
8 Er 0.656 0.311 0.008
9 Pb 0.333 0.666 0.222
10 Pb 0.861 0.722 0.567
11 Li 0.950 0.900 0.201
12 Er 0.500 0.000 0.500


No. 4
MnIrSe: relaxed, GGA-PBE.

## Properties
- space-group type = Amm2 (38)
- calculated volume (A^3/atom) = 14.5
- ΔE_f (raw) (meV per atom) = 209.6

Cell: 2.875 2.874 12.185 Å, 90.00 90.00 120.00°
Element x y z (fractional)
1 Ir 0.775 0.551 0.656
2 Mn 0.447 0.894 0.000
3 Ir 0.775 0.551 0.344
4 Mn 0.442 0.884 0.500
5 Se 0.114 0.227 0.141
6 Se 0.114 0.227 0.859